# 1
A relaxed BeW2Cl crystal, computed with GGA-PBE.

Its mass density is 11.7 g/cm³. Its offset from the most stable computed form is 0.428 eV/atom. The density of states at the Fermi level comes out at 0.67 states/eV/atom.

The space group is Cm (No. 8) and the conventional cell measures 8.849, 2.861 and 4.828 Å, with angles of 90.00, 106.68 and 90.00 degrees. The asymmetric unit holds Be at (0.000, 0.000, 0.000), W at (0.264, 0.000, 0.890), W at (0.496, 0.000, 0.571) and Cl at (0.254, 0.500, 0.294).

# 2
A relaxed KZr2Cd crystal, computed with GGA-PBE.

The value obtained for the formation energy is 0.448 eV/atom. Its mass density is 5.3 g/cm³. The density of states at the Fermi level comes out at 0.66 states/eV/atom.

The space group is Cmmm (No. 65) and the conventional cell measures 3.239, 5.255 and 12.365 Å, with angles of 90.00, 90.00 and 90.00 degrees. The asymmetric unit holds K at (0.000, 0.000, 0.000), Zr at (0.000, 0.500, 0.284) and Cd at (0.000, 0.000, 0.500).

# 3
A relaxed CsCd3Rh crystal, computed with GGA-PBE.

The value obtained for the formation energy is 1.491 eV/atom. Its mass density is 3.0 g/cm³. Its offset from the most stable computed form is 1.589 eV/atom. The density of states at the Fermi level comes out at 2.62 states/eV/atom.

The space group is Pm-3m (No. 221) and the conventional cell measures 6.840, 6.840 and 6.840 Å, with angles of 90.00, 90.00 and 90.00 degrees. The asymmetric unit holds Cs at (0.000, 0.000, 0.000), Cd at (0.000, 0.000, 0.500) and Rh at (0.500, 0.500, 0.500).

# 4
A relaxed VTcNi2 crystal, computed with GGA-PBE.

The value obtained for the formation energy is 0.142 eV/atom. Its mass density is 8.8 g/cm³. Its offset from the most stable computed form is 0.292 eV/atom. The density of states at the Fermi level comes out at 1.76 states/eV/atom.

The space group is Fm-3m (No. 225) and the conventional cell measures 5.857, 5.857 and 5.857 Å, with angles of 90.00, 90.00 and 90.00 degrees. The asymmetric unit holds V at (0.000, 0.000, 0.000), Tc at (0.000, 0.000, 0.500) and Ni at (0.250, 0.250, 0.250).

# 5
A relaxed Si2NiTeAs crystal, computed with GGA-PBE.

Its mass density is 5.2 g/cm³. The total energy is -4.50 eV per atom. The density of states at the Fermi level comes out at 0.64 states/eV/atom.

The space group is P4/mmm (No. 123) and the conventional cell measures 4.326, 4.326 and 5.463 Å, with angles of 90.00, 90.00 and 90.00 degrees. The asymmetric unit holds Si at (0.000, 0.500, 0.000), Ni at (0.000, 0.000, 0.000), Te at (0.000, 0.000, 0.500) and As at (0.500, 0.500, 0.500).

# 6
A relaxed PH5F2 crystal, computed with GGA-PBE.

Its mass density is 1.2 g/cm³. The total energy is -3.98 eV per atom. The density of states at the Fermi level comes out at 0.00 states/eV/atom.

The space group is P1 (No. 1) and the conventional cell measures 4.957, 5.040 and 5.083 Å, with angles of 67.57, 68.08 and 68.55 degrees. The asymmetric unit holds P at (0.000, 0.000, 0.000), H at (0.143, 0.712, 0.143), H at (0.149, 0.148, 0.717), H at (0.706, 0.137, 0.138), H at (0.760, 0.753, 0.750), H at (0.877, 0.873, 0.863), F at (0.144, 0.148, 0.157) and F at (0.672, 0.668, 0.670).

# 7
A relaxed CuOsRu2 crystal, computed with GGA-PBE.

The value obtained for the formation energy is 0.319 eV/atom. Its mass density is 13.8 g/cm³. The density of states at the Fermi level comes out at 1.36 states/eV/atom.

The space group is Cmmm (No. 65) and the conventional cell measures 5.377, 7.578 and 2.700 Å, with angles of 90.00, 90.00 and 90.00 degrees. The asymmetric unit holds Cu at (0.000, 0.000, 0.000), Os at (0.000, 0.500, 0.000) and Ru at (0.250, 0.250, 0.500).

# 8
A relaxed Sc3Pb crystal, computed with GGA-PBE.

The value obtained for the formation energy is -0.212 eV/atom. Its mass density is 5.9 g/cm³. The density of states at the Fermi level comes out at 1.23 states/eV/atom.

The space group is Imm2 (No. 44) and the conventional cell measures 3.337, 10.422 and 5.560 Å, with angles of 90.00, 90.00 and 90.00 degrees. The asymmetric unit holds Sc at (0.000, 0.000, 0.000), Sc at (0.000, 0.239, 0.349) and Pb at (0.000, 0.500, 0.021).

# 9
A relaxed TlGe2As2 crystal, computed with GGA-PBE.

The value obtained for the formation energy is 0.219 eV/atom. Its mass density is 7.1 g/cm³. Its offset from the most stable computed form is 0.102 eV/atom. The density of states at the Fermi level comes out at 0.44 states/eV/atom.

The space group is P4/mbm (No. 127) and the conventional cell measures 8.164, 8.164 and 3.505 Å, with angles of 90.00, 90.00 and 90.00 degrees. The asymmetric unit holds Tl at (0.000, 0.000, 0.000), Ge at (0.133, 0.367, 0.500) and As at (0.132, 0.632, 0.000).

# 10
A relaxed Pm3In2Au8 crystal, computed with GGA-PBE.

The value obtained for the formation energy is -0.398 eV/atom. Its mass density is 11.7 g/cm³. The density of states at the Fermi level comes out at 0.60 states/eV/atom.

The space group is R-3m (No. 166, hexagonal axes) and the conventional cell measures 5.5463, 5.5463 and 35.8276 Å, with angles of 90.00, 90.00 and 120.00 degrees. The asymmetric unit holds Pm at (0.0000, 0.0000, 0.0000), Pm at (0.0000, 0.0000, 0.2362), In at (0.0000, 0.0000, 0.3939), Au at (0.0000, 0.0000, 0.3170) and Au at (0.0046, 0.5023, 0.7987).

# 11
A relaxed TlNiAgRh crystal, computed with GGA-PBE.

The value obtained for the formation energy is 0.190 eV/atom. Its mass density is 12.1 g/cm³. The density of states at the Fermi level comes out at 0.26 states/eV/atom.

The space group is F-43m (No. 216) and the conventional cell measures 6.391, 6.391 and 6.391 Å, with angles of 90.00, 90.00 and 90.00 degrees. The asymmetric unit holds Tl at (0.000, 0.000, 0.000), Ni at (0.250, 0.250, 0.250), Ag at (0.000, 0.000, 0.500) and Rh at (0.250, 0.250, 0.750).

# 12
A relaxed SrZnPb2 crystal, computed with GGA-PBE.

The value obtained for the formation energy is -0.153 eV/atom. Its mass density is 7.9 g/cm³. The density of states at the Fermi level comes out at 0.68 states/eV/atom.

The space group is P4mm (No. 99) and the conventional cell measures 3.989, 3.989 and 7.530 Å, with angles of 90.00, 90.00 and 90.00 degrees. The asymmetric unit holds Sr at (0.000, 0.000, 0.000), Zn at (0.500, 0.500, 0.266), Pb at (0.000, 0.000, 0.462) and Pb at (0.500, 0.500, 0.695).

> Among the records above, which one has the lowest mass density?

PH5F2

> Look up the mass density of the second one.

5.3 g/cm³

> Which of these has the lowest mass density?

PH5F2